# 1
# TlCoMo2 | Alexandria | PBE-GGA | optimized geometry
# * DFT total energy: -0.2642 Ha/atom
# * V: 16.43 A^3/atom
# * ΔH_f (0 K): 0.594 eV per atom
data_TlCoMo2
_chemical_formula_sum 'Tl2 Co2 Mo4'
_space_group_name_H-M_alt 'C 1 m 1'
_space_group_IT_number 8
_cell_length_a 9.331
_cell_length_b 2.865
_cell_length_c 5.020
_cell_angle_alpha 90.00
_cell_angle_beta 101.54
_cell_angle_gamma 90.00
loop_
_space_group_symop_operation_xyz
'x,y,z'
'x,-y,z'
'x+1/2,y+1/2,z'
'x+1/2,-y+1/2,z'
loop_
_atom_site_label
_atom_site_type_symbol
_atom_site_fract_x
_atom_site_fract_y
_atom_site_fract_z
Tl1 Tl 0.000 0.000 0.000
Co1 Co 0.247 0.000 0.737
Mo1 Mo 0.025 0.500 0.517
Mo2 Mo 0.267 0.500 0.308



# 2
# TlCo2Mo | Alexandria | PBE-GGA | optimized geometry
# * DFT total energy: -0.2314 Ha/atom
# * V: 14.53 A^3/atom
# * ΔH_f (0 K): 0.555 eV per atom
data_TlCo2Mo
_chemical_formula_sum 'Tl2 Co4 Mo2'
_space_group_name_H-M_alt 'C m m m'
_space_group_IT_number 65
_space_group_name_Hall '-C 2 2'
_cell_length_a 5.777
_cell_length_b 7.089
_cell_length_c 2.838
_cell_angle_alpha 90.00
_cell_angle_beta 90.00
_cell_angle_gamma 90.00
loop_
_atom_site_label
_atom_site_type_symbol
_atom_site_fract_x
_atom_site_fract_y
_atom_site_fract_z
Tl1 Tl 0.000 0.000 0.000
Co1 Co 0.250 0.250 0.500
Mo1 Mo 0.000 0.500 0.000



# 3
# TlCoMo2 | Alexandria | PBE-GGA | optimized geometry
# * DFT total energy: -0.2564 Ha/atom
# * V: 16.26 A^3/atom
# * ΔH_f (0 K): 0.806 eV per atom
data_TlCoMo2
_chemical_formula_sum 'Tl4 Co4 Mo8'
_space_group_name_H-M_alt 'F m -3 m'
_space_group_IT_number 225
_space_group_name_Hall '-F 4 2 3'
_cell_length_a 6.383
_cell_length_b 6.383
_cell_length_c 6.383
_cell_angle_alpha 90.00
_cell_angle_beta 90.00
_cell_angle_gamma 90.00
loop_
_atom_site_label
_atom_site_type_symbol
_atom_site_fract_x
_atom_site_fract_y
_atom_site_fract_z
Tl1 Tl 0.000 0.000 0.000
Co1 Co 0.000 0.000 0.500
Mo1 Mo 0.250 0.250 0.250